# HgBi2O6 (meta-GGA SCAN, single point on PBEsol structure)
# Formation energy from raw total energies (eV per atom): -0.59
data_HgBi2O6
_symmetry_space_group_name_H-M 'P 42/m n m'
_symmetry_Int_Tables_number 136
_symmetry_space_group_name_Hall '-P 4n 2n'
_cell_length_a 4.9925
_cell_length_b 4.9925
_cell_length_c 10.4222
_cell_angle_alpha 90.00
_cell_angle_beta 90.00
_cell_angle_gamma 90.00
loop_
_atom_site_label
_atom_site_type_symbol
_atom_site_fract_x
_atom_site_fract_y
_atom_site_fract_z
_atom_site_occupancy
Hg1 Hg 0.0000 0.0000 0.0000 1
Bi1 Bi 0.0000 0.0000 0.3324 1
O1 O 0.1866 0.1866 0.5000 1
O2 O 0.1984 0.1984 0.1749 1



# Hg3BiO (meta-GGA SCAN, single point on PBEsol structure)
# Distance to the lowest polymorph of the same formula (eV/f.u.): 0.000
# Formation energy from raw total energies (eV per atom): 0.28
data_Hg3BiO
_symmetry_space_group_name_H-M 'P m -3 m'
_symmetry_Int_Tables_number 221
_symmetry_space_group_name_Hall '-P 4 2 3'
_cell_length_a 4.7843
_cell_length_b 4.7843
_cell_length_c 4.7843
_cell_angle_alpha 90.00
_cell_angle_beta 90.00
_cell_angle_gamma 90.00
loop_
_atom_site_label
_atom_site_type_symbol
_atom_site_fract_x
_atom_site_fract_y
_atom_site_fract_z
_atom_site_occupancy
Hg1 Hg 0.0000 0.0000 0.5000 1
Bi1 Bi 0.5000 0.5000 0.5000 1
O1 O 0.0000 0.0000 0.0000 1



# HgBiO3 (meta-GGA SCAN, single point on PBEsol structure)
# Formation energy from raw total energies (eV per atom): -0.63
data_HgBiO3
_symmetry_space_group_name_H-M 'R -3 c'
_symmetry_Int_Tables_number 167
_symmetry_space_group_name_Hall '-R 3 2"c'
_cell_length_a 5.8602
_cell_length_b 5.8602
_cell_length_c 14.9736
_cell_angle_alpha 90.00
_cell_angle_beta 90.00
_cell_angle_gamma 120.00
loop_
_atom_site_label
_atom_site_type_symbol
_atom_site_fract_x
_atom_site_fract_y
_atom_site_fract_z
_atom_site_occupancy
Hg1 Hg 0.0000 0.0000 0.2500 1
Bi1 Bi 0.0000 0.0000 0.0000 1
O1 O 0.0000 0.3755 0.2500 1



# HgBiPO2 (meta-GGA SCAN, single point on PBEsol structure)
# Formation energy from raw total energies (eV per atom): 0.42
data_HgBiPO2
_symmetry_space_group_name_H-M 'P 4/m m m'
_symmetry_Int_Tables_number 123
_symmetry_space_group_name_Hall '-P 4 2'
_cell_length_a 4.1811
_cell_length_b 4.1811
_cell_length_c 4.9407
_cell_angle_alpha 90.00
_cell_angle_beta 90.00
_cell_angle_gamma 90.00
loop_
_atom_site_label
_atom_site_type_symbol
_atom_site_fract_x
_atom_site_fract_y
_atom_site_fract_z
_atom_site_occupancy
Hg1 Hg 0.0000 0.0000 0.0000 1
Bi1 Bi 0.5000 0.5000 0.5000 1
P1 P 0.0000 0.0000 0.5000 1
O1 O 0.0000 0.5000 0.0000 1



A plane-wave DFT calculation with meta-GGA SCAN was carried out for HgBiP3 at its PBEsol-relaxed geometry.

Geometry as CIF:
```
data_HgBiP3
_symmetry_space_group_name_H-M 'P m -3 m'
_symmetry_Int_Tables_number 221
_symmetry_space_group_name_Hall '-P 4 2 3'
_cell_length_a 4.9014
_cell_length_b 4.9014
_cell_length_c 4.9014
_cell_angle_alpha 90.00
_cell_angle_beta 90.00
_cell_angle_gamma 90.00
loop_
_atom_site_label
_atom_site_type_symbol
_atom_site_fract_x
_atom_site_fract_y
_atom_site_fract_z
_atom_site_occupancy
Hg1 Hg 0.0000 0.0000 0.0000 1
Bi1 Bi 0.5000 0.5000 0.5000 1
P1 P 0.0000 0.0000 0.5000 1
```



A plane-wave DFT calculation with meta-GGA SCAN was carried out for HgBi2Pb at its PBEsol-relaxed geometry.

Geometry as CIF:
```
data_HgBi2Pb
_symmetry_space_group_name_H-M 'F m -3 m'
_symmetry_Int_Tables_number 225
_symmetry_space_group_name_Hall '-F 4 2 3'
_cell_length_a 7.6890
_cell_length_b 7.6890
_cell_length_c 7.6890
_cell_angle_alpha 90.00
_cell_angle_beta 90.00
_cell_angle_gamma 90.00
loop_
_atom_site_label
_atom_site_type_symbol
_atom_site_fract_x
_atom_site_fract_y
_atom_site_fract_z
_atom_site_occupancy
Hg1 Hg 0.0000 0.0000 0.0000 1
Bi1 Bi 0.2500 0.2500 0.2500 1
Pb1 Pb 0.0000 0.0000 0.5000 1
```



A plane-wave DFT calculation with meta-GGA SCAN was carried out for Hg2BiPtPb at its PBEsol-relaxed geometry.

Geometry as CIF:
```
data_Hg2BiPtPb
_symmetry_space_group_name_H-M 'P 4/m m m'
_symmetry_Int_Tables_number 123
_symmetry_space_group_name_Hall '-P 4 2'
_cell_length_a 5.1629
_cell_length_b 5.1629
_cell_length_c 5.2945
_cell_angle_alpha 90.00
_cell_angle_beta 90.00
_cell_angle_gamma 90.00
loop_
_atom_site_label
_atom_site_type_symbol
_atom_site_fract_x
_atom_site_fract_y
_atom_site_fract_z
_atom_site_occupancy
Hg1 Hg 0.0000 0.5000 0.0000 1
Bi1 Bi 0.0000 0.0000 0.5000 1
Pt1 Pt 0.5000 0.5000 0.0000 1
Pb1 Pb 0.5000 0.5000 0.5000 1
```



# HgBi2Pd2 (meta-GGA SCAN, single point on PBEsol structure)
# Distance to the lowest polymorph of the same formula (eV/f.u.): 0.000
data_HgBi2Pd2
_symmetry_space_group_name_H-M 'P 4/m b m'
_symmetry_Int_Tables_number 127
_symmetry_space_group_name_Hall '-P 4 2ab'
_cell_length_a 7.3345
_cell_length_b 7.3345
_cell_length_c 3.9710
_cell_angle_alpha 90.00
_cell_angle_beta 90.00
_cell_angle_gamma 90.00
loop_
_atom_site_label
_atom_site_type_symbol
_atom_site_fract_x
_atom_site_fract_y
_atom_site_fract_z
_atom_site_occupancy
Hg1 Hg 0.0000 0.0000 0.0000 1
Bi1 Bi 0.1615 0.3385 0.5000 1
Pd1 Pd 0.1364 0.6364 0.0000 1



# HgBi2Pd2 (meta-GGA SCAN, single point on PBEsol structure)
# Distance to the lowest polymorph of the same formula (eV/f.u.): 0.364
data_HgBi2Pd2
_symmetry_space_group_name_H-M 'I 4/m m m'
_symmetry_Int_Tables_number 139
_symmetry_space_group_name_Hall '-I 4 2'
_cell_length_a 3.9010
_cell_length_b 3.9010
_cell_length_c 15.3258
_cell_angle_alpha 90.00
_cell_angle_beta 90.00
_cell_angle_gamma 90.00
loop_
_atom_site_label
_atom_site_type_symbol
_atom_site_fract_x
_atom_site_fract_y
_atom_site_fract_z
_atom_site_occupancy
Hg1 Hg 0.0000 0.0000 0.0000 1
Bi1 Bi 0.0000 0.0000 0.3783 1
Pd1 Pd 0.0000 0.5000 0.2500 1



A plane-wave DFT calculation with meta-GGA SCAN was carried out for HgBiPd2 at its PBEsol-relaxed geometry.

Geometry as CIF:
```
data_HgBiPd2
_symmetry_space_group_name_H-M 'F m -3 m'
_symmetry_Int_Tables_number 225
_symmetry_space_group_name_Hall '-F 4 2 3'
_cell_length_a 6.6791
_cell_length_b 6.6791
_cell_length_c 6.6791
_cell_angle_alpha 90.00
_cell_angle_beta 90.00
_cell_angle_gamma 90.00
loop_
_atom_site_label
_atom_site_type_symbol
_atom_site_fract_x
_atom_site_fract_y
_atom_site_fract_z
_atom_site_occupancy
Hg1 Hg 0.0000 0.0000 0.0000 1
Bi1 Bi 0.0000 0.0000 0.5000 1
Pd1 Pd 0.2500 0.2500 0.2500 1
```



A plane-wave DFT calculation with meta-GGA SCAN was carried out for TiHgBi2Pd at its PBEsol-relaxed geometry.

Geometry as CIF:
```
data_TiHgBi2Pd
_symmetry_space_group_name_H-M 'P 4/m m m'
_symmetry_Int_Tables_number 123
_symmetry_space_group_name_Hall '-P 4 2'
_cell_length_a 5.2896
_cell_length_b 5.2896
_cell_length_c 4.8620
_cell_angle_alpha 90.00
_cell_angle_beta 90.00
_cell_angle_gamma 90.00
loop_
_atom_site_label
_atom_site_type_symbol
_atom_site_fract_x
_atom_site_fract_y
_atom_site_fract_z
_atom_site_occupancy
Ti1 Ti 0.0000 0.0000 0.0000 1
Hg1 Hg 0.5000 0.5000 0.0000 1
Bi1 Bi 0.0000 0.5000 0.5000 1
Pd1 Pd 0.0000 0.0000 0.5000 1
```



A plane-wave DFT calculation with meta-GGA SCAN was carried out for ZrHg2BiPd at its PBEsol-relaxed geometry.

Geometry as CIF:
```
data_ZrHg2BiPd
_symmetry_space_group_name_H-M 'P 4/m m m'
_symmetry_Int_Tables_number 123
_symmetry_space_group_name_Hall '-P 4 2'
_cell_length_a 4.9997
_cell_length_b 4.9997
_cell_length_c 5.1574
_cell_angle_alpha 90.00
_cell_angle_beta 90.00
_cell_angle_gamma 90.00
loop_
_atom_site_label
_atom_site_type_symbol
_atom_site_fract_x
_atom_site_fract_y
_atom_site_fract_z
_atom_site_occupancy
Zr1 Zr 0.0000 0.0000 0.0000 1
Hg1 Hg 0.0000 0.5000 0.5000 1
Bi1 Bi 0.5000 0.5000 0.0000 1
Pd1 Pd 0.5000 0.5000 0.5000 1
```



Number 1: uncorrected energy -29.779 eV/atom. Number 2: uncorrected energy -57.579 eV/atom. Number 3: uncorrected energy -33.719 eV/atom. Number 4: uncorrected energy -33.502 eV/atom. Number 5: uncorrected energy -34.341 eV/atom. Number 6: uncorrected energy -75.139 eV/atom. Number 7: uncorrected energy -72.012 eV/atom. Number 8: uncorrected energy -58.291 eV/atom. Number 9: uncorrected energy -58.218 eV/atom. Number 10: uncorrected energy -53.187 eV/atom. Number 11: uncorrected energy -54.428 eV/atom. Number 12: uncorrected energy -55.223 eV/atom.